A plane-wave DFT calculation with GGA-PBE was carried out for crystalline Er4Zn3Tc at its relaxed geometry.

a b c (Å): 3.4990 3.4990 14.0772
angles (deg): 90.00 90.00 90.00
With the nearest neighbours (Å) after each atom.
Sites, in units of the cell vectors:
Er 0.0000 0.0000 0.1137  4 Tc 2.95, 4 Zn 3.09, 1 Er 3.20
Er 0.0000 0.0000 0.3730  8 Zn 3.05-3.06
Er 0.0000 0.0000 0.6270  8 Zn 3.05-3.06
Er 0.0000 0.0000 0.8863  4 Tc 2.95, 4 Zn 3.09, 1 Er 3.20
Zn 0.5000 0.5000 0.2449  8 Er 3.06-3.09
Zn 0.5000 0.5000 0.5000  8 Er 3.05
Zn 0.5000 0.5000 0.7551  8 Er 3.06-3.09
Tc 0.5000 0.5000 0.0000  8 Er 2.95

ΔE_f ... -0.280 eV/atom
Theoretical density ... 9.3 Mg/m³
Space group ... P4/mmm, No. 123
Total magnetic moment ... 0.00 μB/cell
E_tot ... -34.7 eV for the cell shown